Material: CrSi2Ag
Method: DFT, PBE
State: relaxed

Values from the calculation:
* offset from the most stable computed form: 0.000 eV per atom
* DOS(E_F): 2.98 states/eV per cell
* mass density: 6.25 g/cm³

a = 8.5025 Å, b = 8.5025 Å, c = 8.5025 Å
α = 19.08°, β = 19.08°, γ = 19.08°
Last column: nearest neighbours and their distance in Å.
Fractional positions:
Cr 0.7500 0.7500 0.7500  6 Si 2.46
Ag 0.2500 0.2500 0.2500  6 Ag 2.82, 6 Si 2.84
Si 0.0096 0.0096 0.0096  3 Cr 2.46
Si 0.4904 0.4904 0.4904  3 Cr 2.46